Here is an optimized crystal structure of LiMnF3 from Alexandria via LeMat-Bulk. Energies are from GGA+U.

## Properties
The energy relative to the lowest polymorph listed for this composition is 24 meV per atom.

The structure in POSCAR format:
```
LiMnF3
1.0
5.891 0.000 0.000
0.000 9.293 0.000
0.000 0.000 10.067
Li Mn F
8 8 24
Direct
0.455 0.080 0.703
0.955 0.920 0.703
0.045 0.080 0.297
0.545 0.420 0.203
0.045 0.580 0.203
0.455 0.580 0.797
0.955 0.420 0.797
0.545 0.920 0.297
0.750 0.717 0.000
0.250 0.906 0.000
0.250 0.406 0.500
0.250 0.783 0.500
0.750 0.594 0.500
0.250 0.283 0.000
0.750 0.094 0.000
0.750 0.217 0.500
0.584 0.913 0.104
0.766 0.068 0.653
0.766 0.568 0.847
0.068 0.751 0.100
0.932 0.749 0.600
0.084 0.087 0.104
0.932 0.249 0.900
0.266 0.432 0.847
0.432 0.751 0.900
0.734 0.568 0.153
0.234 0.432 0.153
0.568 0.249 0.100
0.734 0.068 0.347
0.416 0.087 0.896
0.234 0.932 0.347
0.266 0.932 0.653
0.416 0.587 0.604
0.068 0.251 0.400
0.432 0.251 0.600
0.916 0.413 0.604
0.084 0.587 0.396
0.568 0.749 0.400
0.584 0.413 0.396
0.916 0.913 0.896
```